## CaCdIO2 (PBE)

Data for crystalline CaCdIO2 at its relaxed geometry.

Output
- VASP energy: -3.521 eV per atom
- Energy relative to the lowest polymorph listed for this composition: 0.0 kJ/mol of atoms

Lattice parameters (Å, degrees): 4.3965 4.3965 5.7553 90.00 90.00 90.00
Last column: magnetic moment on the atom in μB.
Element x y z (fractional)
I (0.0000, 0.0000, 0.5000)  0.00
Ca (0.5000, 0.5000, 0.5000)  -0.01
O (0.0000, 0.5000, 0.0000)  0.26
O (0.5000, 0.0000, 0.0000)  0.26
Cd (0.0000, 0.0000, 0.0000)  -0.01